Computed, not measured: Ca3OsN4 after structural relaxation at the GGA-PBE level of DFT.

Computed properties:
- Spin magnetization: 2.047 μB/f.u.
- Raw formation energy: -54.96 kJ/mol of atoms
- D(E_F): 0.28 states/eV per atom

Cell lengths 5.173, 6.682, 7.702 Å; angles 90.00, 90.00, 90.00 degrees
Sites, in units of the cell vectors:
N1 0.064 0.895 0.000
N2 0.072 0.311 0.788
N3 0.572 0.689 0.288
N4 0.072 0.311 0.212
N5 0.639 0.183 0.000
N6 0.572 0.689 0.712
N7 0.564 0.105 0.500
N8 0.139 0.817 0.500
Os1 0.007 0.175 0.000
Os2 0.507 0.825 0.500
Ca1 0.054 0.146 0.500
Ca2 0.053 0.671 0.244
Ca3 0.553 0.329 0.744
Ca4 0.553 0.329 0.256
Ca5 0.554 0.854 0.000
Ca6 0.053 0.671 0.756


Computed, not measured: CaOsN after structural relaxation at the GGA-PBE level of DFT.

Computed properties:
- Spin magnetization: 0.000 μB/f.u.
- Raw formation energy: -2.38 kJ/mol of atoms
- D(E_F): 0.76 states/eV per atom

Cell lengths 4.860, 5.395, 5.556 Å; angles 120.99, 90.00, 116.77 degrees
Sites, in units of the cell vectors:
Os1 0.504 0.500 0.250
Os2 0.996 0.500 0.750
N1 0.750 0.499 0.000
N2 0.750 0.501 0.500
Ca1 0.750 0.000 0.000
Ca2 0.250 0.000 0.500


Question: Which value of spin magnetization does entry 1 give?
Answer: 2.047 μB/f.u.